Na3Cu2F8 | PBE | optimized geometry

abc: 7.0460 7.0460 7.0460
angles: 49.79 49.79 49.79
Fractional coordinates of all 13 atoms:
Na (0.0000, 0.0000, 0.0000)
Na (0.1868, 0.1868, 0.1868)
Na (0.8132, 0.8132, 0.8132)
Cu (0.4041, 0.4041, 0.4041)
Cu (0.5959, 0.5959, 0.5959)
F (0.2169, 0.7442, 0.7442)
F (0.2558, 0.2558, 0.7831)
F (0.2558, 0.7831, 0.2558)
F (0.3041, 0.3041, 0.3041)
F (0.6959, 0.6959, 0.6959)
F (0.7442, 0.2169, 0.7442)
F (0.7442, 0.7442, 0.2169)
F (0.7831, 0.2558, 0.2558)

Properties
total magnetic moment: 3.0 μB/cell
space-group type: R-3m
raw total energy: -4.010 eV/atom
formation energy without anion corrections: -2413 kJ/mol of formula units